# 1
Material: Na2BePtO4
Method: DFT, GGA-PBE
State: optimized geometry

Summary:
The total moment is 4.1 μB per cell. The calculation puts the uncorrected formation energy at -1.311 eV/atom.

a = 5.626 Å, b = 5.626 Å, c = 6.024 Å
α = 90.00°, β = 90.00°, γ = 90.00°
Space group I-4 (No. 82)
One atom of each set of equivalent atoms:
1 Na 0.000 0.000 0.000 [2 per cell]
2 Na 0.000 0.500 0.250 [2 per cell]
3 Be 0.000 0.000 0.500 [2 per cell]
4 Pt 0.000 0.500 0.750 [2 per cell]
5 O 0.134 0.187 0.674 [8 per cell]

---

# 2
Material: LaDy2N3
Method: DFT, GGA-PBE
State: optimized geometry

Summary:
The total moment is 0.0 μB per cell. The calculation puts the uncorrected formation energy at -1.536 eV/atom.

a = 6.179 Å, b = 10.708 Å, c = 6.185 Å
α = 90.00°, β = 109.41°, γ = 90.00°
Space group C2/m (No. 12)
One atom of each set of equivalent atoms:
1 La 0.000 0.167 0.000 [4 per cell]
2 Dy 0.000 0.000 0.500 [2 per cell]
3 Dy 0.000 0.336 0.500 [4 per cell]
4 Dy 0.000 0.500 0.000 [2 per cell]
5 N 0.236 0.500 0.740 [4 per cell]
6 N 0.248 0.339 0.260 [8 per cell]

---

# 3
Material: ZnIn8Hg2
Method: DFT, GGA-PBE
State: optimized geometry

Summary:
The value obtained for the formation energy is 0.046 eV/atom. The relative energy among the computed polymorphs comes out at 7 meV per atom. The total moment is 0.0 μB per cell.

a = 5.474 Å, b = 7.037 Å, c = 8.350 Å
α = 104.88°, β = 95.69°, γ = 107.07°
Space group P-1 (No. 2)
One atom of each set of equivalent atoms:
1 Zn 0.000 0.000 0.000 [1 per cell]
2 In 0.073 0.120 0.362 [2 per cell]
3 In 0.225 0.422 0.068 [2 per cell]
4 In 0.233 0.518 0.710 [2 per cell]
5 In 0.477 0.924 0.157 [2 per cell]
6 Hg 0.363 0.727 0.441 [2 per cell]

---

Q: What is the formula in the second record?
A: LaDy2N3

---

Q: What is the total moment in the second record?
A: 0.0 μB per cell

---

Q: Which value of total moment does entry 2 give?
A: 0.0 μB per cell